Compound: KLiCa2H
Source: Alexandria
Functional: PBE
Structure: relaxed

Computed properties:
- DOS(E_F) (states/eV/atom) = 0.81
- magnetization (μB per formula unit) = 0.00
- E_tot (eV per cell) = -10.28

a = 5.122 Å, b = 5.122 Å, c = 5.844 Å
α = 90.00°, β = 90.00°, γ = 90.00°
Space group P4/mmm (No. 123)
Asymmetric unit:
K  0.000  0.000  0.000 x1
Li  0.500  0.500  0.000 x1
Ca  0.000  0.500  0.500 x2
H  0.000  0.000  0.500 x1


Compound: Ac3Ni2Ru
Source: Alexandria
Functional: PBE
Structure: relaxed

Computed properties:
- DOS(E_F) (states/eV/atom) = 0.99
- magnetization (μB per formula unit) = 0.00
- E_tot (eV per cell) = -136.70

a = 12.268 Å, b = 4.182 Å, c = 12.469 Å
α = 90.00°, β = 90.00°, γ = 90.00°
Space group Pnma (No. 62)
Asymmetric unit:
Ac  0.062  0.250  0.124 x4
Ac  0.120  0.750  0.557 x4
Ac  0.209  0.250  0.808 x4
Ni  0.027  0.750  0.312 x4
Ni  0.189  0.750  0.985 x4
Ru  0.121  0.250  0.366 x4


Compound: Cd3SbH
Source: Alexandria
Functional: PBE
Structure: relaxed

Computed properties:
- DOS(E_F) (states/eV/atom) = 0.38
- magnetization (μB per formula unit) = 0.00
- energy above the most stable polymorph in this dataset (meV per atom) = 158

a = 4.678 Å, b = 4.678 Å, c = 4.678 Å
α = 90.00°, β = 90.00°, γ = 90.00°
Space group Pm-3m (No. 221)
Asymmetric unit:
Cd  0.000  0.000  0.500 x3
Sb  0.500  0.500  0.500 x1
H  0.000  0.000  0.000 x1


Compound: CaMn2Ru
Source: Alexandria
Functional: PBE
Structure: relaxed

Computed properties:
- DOS(E_F) (states/eV/atom) = 1.32
- magnetization (μB per formula unit) = 7.56
- energy above the most stable polymorph in this dataset (meV per atom) = 157

a = 3.098 Å, b = 4.853 Å, c = 9.673 Å
α = 90.00°, β = 90.00°, γ = 90.00°
Space group Immm (No. 71)
Asymmetric unit:
Ca  0.000  0.000  0.000 x2
Mn  0.000  0.500  0.213 x4
Ru  0.000  0.000  0.500 x2


Compound: Ta2IrRu
Source: Alexandria
Functional: PBE
Structure: relaxed

Computed properties:
- DOS(E_F) (states/eV/atom) = 1.00
- magnetization (μB per formula unit) = 0.00
- E_tot (eV per cell) = -87.11

a = 4.175 Å, b = 4.175 Å, c = 7.397 Å
α = 90.00°, β = 90.00°, γ = 90.00°
Space group I4/mmm (No. 139)
Asymmetric unit:
Ta  0.000  0.500  0.250 x4
Ir  0.000  0.000  0.000 x2
Ru  0.000  0.000  0.500 x2


Compound: ZrTiZnCd
Source: Alexandria
Functional: PBE
Structure: relaxed

Computed properties:
- DOS(E_F) (states/eV/atom) = 1.16
- magnetization (μB per formula unit) = 0.39
- E_tot (eV per cell) = -19.08

a = 3.066 Å, b = 3.066 Å, c = 7.942 Å
α = 90.00°, β = 90.00°, γ = 90.00°
Space group P4mm (No. 99)
Asymmetric unit:
Zr  0.000  0.000  0.000 x1
Ti  0.000  0.000  0.541 x1
Zn  0.500  0.500  0.755 x1
Cd  0.500  0.500  0.285 x1